Density functional theory data (PBE with a Hubbard U) for crystalline AlWI2O at its relaxed geometry.

Output
symmetry = P4/mmm
Fermi-level density of states = 1.0 states/eV per cell
ρ = 5.555 g/cm3
excess energy over the best structure of this formula in the dataset = 0 meV/atom
raw total energy = -0.149 hartree per atom

Cell: 6.063 6.063 3.908 Å, 90.00 90.00 90.00°
Positions (direct):
I1 0.500 0.000 0.000
I2 0.000 0.500 0.000
O1 0.000 0.000 0.500
W1 0.000 0.000 0.000
Al1 0.500 0.500 0.500